1:
# TlTc2As2

An optimized crystal structure of TlTc2As2 (PBE, Alexandria via LeMat-Bulk).

The structure in extended XYZ format:
```
10
Lattice="7.452 0.000 0.000 0.000 7.452 0.000 0.000 0.000 3.115" Properties=species:S:1:pos:R:3 pbc="T T T"
Tl 0.000 0.000 0.000
Tl 3.726 3.726 0.000
Tc 1.075 2.651 0.000
Tc 2.651 6.377 0.000
Tc 4.802 1.075 0.000
Tc 6.377 4.802 0.000
As 1.036 4.762 1.557
As 2.690 1.036 1.557
As 4.762 6.417 1.557
As 6.417 2.690 1.557
```



2:
# TlTc2As2

An optimized crystal structure of TlTc2As2 (PBE, Alexandria via LeMat-Bulk).

The structure in extended XYZ format:
```
5
Lattice="-1.948 1.948 5.997 1.948 -1.948 5.997 1.948 1.948 -5.997" Properties=species:S:1:pos:R:3 pbc="T T T"
Tl 0.000 0.000 0.000
Tc 0.000 0.000 4.570
Tc 0.000 0.000 7.424
As 1.948 0.000 2.998
As 0.000 1.948 2.998
```



Winner for stability: 1



1:
# Tl2TcAs2

An optimized crystal structure of Tl2TcAs2 (PBE, Alexandria via LeMat-Bulk).

The structure in extended XYZ format:
```
10
Lattice="6.456 0.000 0.000 0.000 6.456 0.000 0.000 0.000 5.539" Properties=species:S:1:pos:R:3 pbc="T T T"
Tl 1.221 2.006 0.000
Tl 2.006 5.234 0.000
Tl 4.449 1.221 0.000
Tl 5.234 4.449 0.000
Tc 0.000 0.000 2.769
Tc 3.228 3.228 2.769
As 0.935 4.163 2.769
As 2.292 0.935 2.769
As 4.163 5.520 2.769
As 5.520 2.292 2.769
```



2:
# Tl2TcAs2

An optimized crystal structure of Tl2TcAs2 (PBE, Alexandria via LeMat-Bulk).

The structure in extended XYZ format:
```
5
Lattice="-2.008 2.008 7.909 2.008 -2.008 7.909 2.008 2.008 -7.909" Properties=species:S:1:pos:R:3 pbc="T T T"
Tl 2.008 0.000 3.954
Tl 0.000 2.008 3.954
Tc 0.000 0.000 0.000
As 0.000 0.000 6.721
As 0.000 0.000 9.097
```



Winner for stability: 1



1:
# UTcAs

An optimized crystal structure of UTcAs (PBE, Alexandria via LeMat-Bulk).

The structure in extended XYZ format:
```
3
Lattice="4.373 0.000 0.000 -2.187 3.787 0.000 0.000 0.000 3.341" Properties=species:S:1:pos:R:3 pbc="T T T"
U 0.000 0.000 0.000
Tc 0.000 2.525 1.671
As 2.187 1.262 1.671
```



2:
# UTcAs

An optimized crystal structure of UTcAs (PBE, Alexandria via LeMat-Bulk).

The structure in extended XYZ format:
```
12
Lattice="8.249 0.000 0.000 0.000 5.203 0.000 0.000 0.000 4.758" Properties=species:S:1:pos:R:3 pbc="T T T"
U 0.586 0.085 1.189
U 0.586 2.517 3.568
U 7.664 2.686 1.189
U 7.664 5.119 3.568
Tc 3.419 0.386 1.189
Tc 3.419 2.215 3.568
Tc 4.830 2.988 1.189
Tc 4.830 4.817 3.568
As 2.352 2.799 1.189
As 2.352 5.006 3.568
As 5.897 0.197 1.189
As 5.897 2.404 3.568
```



3:
# UTcAs

An optimized crystal structure of UTcAs (PBE, Alexandria via LeMat-Bulk).

The structure in extended XYZ format:
```
3
Lattice="-1.596 1.596 5.362 1.596 -1.596 5.362 1.596 1.596 -5.362" Properties=species:S:1:pos:R:3 pbc="T T T"
U 0.000 0.000 0.000
Tc 0.000 0.000 7.278
As 0.000 0.000 3.219
```



Winner for stability: 1



1:
# UTcAs

An optimized crystal structure of UTcAs (PBE, Alexandria via LeMat-Bulk).

The structure in extended XYZ format:
```
6
Lattice="2.111 -5.571 0.000 2.111 5.571 0.000 0.000 0.000 4.473" Properties=species:S:1:pos:R:3 pbc="T T T"
U 2.111 4.823 3.355
U 2.111 -4.823 1.118
Tc 2.111 2.830 1.118
Tc 2.111 -2.830 3.355
As 2.111 1.406 3.355
As 2.111 -1.406 1.118
```



2:
# UTcAs

An optimized crystal structure of UTcAs (PBE, Alexandria via LeMat-Bulk).

The structure in extended XYZ format:
```
9
Lattice="6.841 0.000 0.000 -3.421 5.925 0.000 0.000 0.000 4.091" Properties=species:S:1:pos:R:3 pbc="T T T"
U -1.942 3.363 0.000
U 1.479 2.562 0.000
U 3.883 0.000 0.000
Tc -0.838 1.452 2.045
Tc 1.676 0.000 2.045
Tc 2.583 4.473 2.045
As 0.000 0.000 0.000
As 0.000 3.950 2.045
As 3.421 1.975 2.045
```



Winner for stability: 2